Here is Tl2AgAsSe4 after structural relaxation from Alexandria. Energies are from PBE.

Results
Uncorrected energy: -27.796 eV for the cell shown
Formation energy from raw total energies: -0.2031 eV/atom

a = 6.6346 Å, b = 6.6467 Å, c = 6.9662 Å
α = 112.05°, β = 110.43°, γ = 103.73°
Space group P1 (No. 1)
One atom of each set of equivalent atoms:
Tl1 0.0000 0.0000 0.0000 x1
Tl2 0.1618 0.6544 0.5003 x1
Ag1 0.7279 0.2168 0.5029 x1
As1 0.5007 0.4967 0.0002 x1
Se1 0.1491 0.1818 0.6444 x1
Se2 0.5034 0.8766 0.0605 x1
Se3 0.5428 0.4908 0.3529 x1
Se4 0.8258 0.4515 0.9428 x1